# 1
Here is a relaxed structure of Nd8Er3Tm4 from the Alexandria database. Energies are from GGA-PBE.

```
data_Nd8Er3Tm4
_chemical_formula_sum 'Nd16 Er6 Tm8'
_cell_length_a 13.719
_cell_length_b 12.155
_cell_length_c 6.865
_cell_angle_alpha 90.00
_cell_angle_beta 117.89
_cell_angle_gamma 90.00
_symmetry_space_group_name_H-M 'C 1 2/m 1'
_symmetry_Int_Tables_number 12
loop_
_symmetry_equiv_pos_as_xyz
'x,y,z'
'-x,-y,-z'
'-x,y,-z'
'x,-y,z'
'x+1/2,y+1/2,z'
'-x+1/2,-y+1/2,-z'
'-x+1/2,y+1/2,-z'
'x+1/2,-y+1/2,z'
loop_
_atom_site_label
_atom_site_type_symbol
_atom_site_fract_x
_atom_site_fract_y
_atom_site_fract_z
_atom_site_occupancy
Nd1 Nd 0.000 0.206 0.000 1
Nd2 Nd 0.000 0.254 0.500 1
Nd3 Nd 0.205 0.000 0.180 1
Nd4 Nd 0.244 0.500 0.281 1
Er1 Er 0.000 0.000 0.500 1
Er2 Er 0.250 0.250 0.500 1
Tm1 Tm 0.000 0.500 0.000 1
Tm2 Tm 0.000 0.500 0.500 1
Tm3 Tm 0.250 0.250 0.000 1
```

Computed properties:
Crystal system = monoclinic
Energy relative to the elements = 5.15 eV/f.u.

=====

# 2
Here is a relaxed structure of LaAs2IrBr from the Alexandria database. Energies are from GGA-PBE.

```
data_LaAs2IrBr
_chemical_formula_sum 'La1 As2 Ir1 Br1'
_cell_length_a 5.745
_cell_length_b 5.745
_cell_length_c 5.581
_cell_angle_alpha 90.00
_cell_angle_beta 90.00
_cell_angle_gamma 90.00
_symmetry_space_group_name_H-M 'P 4/m m m'
_symmetry_Int_Tables_number 123
_symmetry_space_group_name_Hall '-P 4 2'
loop_
_atom_site_label
_atom_site_type_symbol
_atom_site_fract_x
_atom_site_fract_y
_atom_site_fract_z
_atom_site_occupancy
La1 La 0.000 0.000 0.000 1
As1 As 0.000 0.500 0.000 1
Ir1 Ir 0.500 0.500 0.500 1
Br1 Br 0.000 0.000 0.500 1
```

Computed properties:
Distance to the lowest polymorph of the same formula = 1436 meV/atom
Crystal system = tetragonal
Energy relative to the elements, uncorrected = 1.141 eV per atom

=====

# 3
Here is a relaxed structure of In2WBr from the Alexandria database. Energies are from GGA-PBE.

```
data_In2WBr
_chemical_formula_sum 'In4 W2 Br2'
_cell_length_a 7.577
_cell_length_b 7.597
_cell_length_c 3.034
_cell_angle_alpha 90.00
_cell_angle_beta 90.00
_cell_angle_gamma 90.00
_symmetry_space_group_name_H-M 'C m m m'
_symmetry_Int_Tables_number 65
_symmetry_space_group_name_Hall '-C 2 2'
loop_
_atom_site_label
_atom_site_type_symbol
_atom_site_fract_x
_atom_site_fract_y
_atom_site_fract_z
_atom_site_occupancy
In1 In 0.250 0.250 0.000 1
W1 W 0.000 0.000 0.500 1
Br1 Br 0.000 0.500 0.500 1
```

Computed properties:
Distance to the lowest polymorph of the same formula = 178 meV/atom
Crystal system = orthorhombic
Energy relative to the elements, uncorrected = 0.537 eV per atom

=====

# 4
Here is a relaxed structure of Mg2CuSe from the Alexandria database. Energies are from GGA-PBE.

```
data_Mg2CuSe
_chemical_formula_sum 'Mg8 Cu4 Se4'
_cell_length_a 8.080
_cell_length_b 5.744
_cell_length_c 7.119
_cell_angle_alpha 90.00
_cell_angle_beta 90.00
_cell_angle_gamma 90.00
_symmetry_space_group_name_H-M 'C m c m'
_symmetry_Int_Tables_number 63
_symmetry_space_group_name_Hall '-C 2c 2'
loop_
_atom_site_label
_atom_site_type_symbol
_atom_site_fract_x
_atom_site_fract_y
_atom_site_fract_z
_atom_site_occupancy
Mg1 Mg 0.181 0.205 0.250 1
Cu1 Cu 0.000 0.175 0.750 1
Se1 Se 0.000 0.500 0.000 1
```

Computed properties:
Crystal system = orthorhombic
Energy relative to the elements, uncorrected = -0.188 eV per atom

=====

# 5
Here is a relaxed structure of BiBPt2S from the Alexandria database. Energies are from GGA-PBE.

```
data_BiBPt2S
_chemical_formula_sum 'Bi1 B1 Pt2 S1'
_cell_length_a 4.413
_cell_length_b 4.413
_cell_length_c 5.710
_cell_angle_alpha 90.00
_cell_angle_beta 90.00
_cell_angle_gamma 90.00
_symmetry_space_group_name_H-M 'P 4/m m m'
_symmetry_Int_Tables_number 123
_symmetry_space_group_name_Hall '-P 4 2'
loop_
_atom_site_label
_atom_site_type_symbol
_atom_site_fract_x
_atom_site_fract_y
_atom_site_fract_z
_atom_site_occupancy
Bi1 Bi 0.000 0.000 0.000 1
B1 B 0.500 0.500 0.000 1
Pt1 Pt 0.000 0.500 0.500 1
S1 S 0.000 0.000 0.500 1
```

Computed properties:
Crystal system = tetragonal
Energy relative to the elements, uncorrected = 1.154 eV per atom

=====

# 6
Here is a relaxed structure of Ti2MoAsSe from the Alexandria database. Energies are from GGA-PBE.

```
data_Ti2MoAsSe
_chemical_formula_sum 'Ti2 Mo1 As1 Se1'
_cell_length_a 4.856
_cell_length_b 4.856
_cell_length_c 4.684
_cell_angle_alpha 90.00
_cell_angle_beta 90.00
_cell_angle_gamma 90.00
_symmetry_space_group_name_H-M 'P 4/m m m'
_symmetry_Int_Tables_number 123
_symmetry_space_group_name_Hall '-P 4 2'
loop_
_atom_site_label
_atom_site_type_symbol
_atom_site_fract_x
_atom_site_fract_y
_atom_site_fract_z
_atom_site_occupancy
Ti1 Ti 0.000 0.500 0.000 1
Mo1 Mo 0.000 0.000 0.000 1
As1 As 0.000 0.000 0.500 1
Se1 Se 0.500 0.500 0.500 1
```

Computed properties:
Crystal system = tetragonal
Energy relative to the elements, uncorrected = 0.501 eV per atom